1.
NpPd8Au6: optimized geometry, PBE-GGA.

## Properties
energy of formation from the pure elements	-1.2	eV/f.u.
N(E_F)	0.6428	states/eV per atom
total DFT energy (no corrections)	-5.02	eV per atom

Cell: 5.0516 7.7855 7.7855 Å, 120.00 90.00 90.00°
With the nearest neighbours (Å) after each atom.
Element x y z (fractional)
1 Pd 0.8125 0.2297 0.9504  1 Np 2.56, 3 Pd 2.70-2.76, 3 Au 2.79-2.86
2 Pd 0.8125 0.0496 0.2793  1 Np 2.56, 3 Pd 2.70-2.76, 3 Au 2.79-2.86
3 Pd 0.8125 0.7207 0.7703  1 Np 2.56, 3 Pd 2.70-2.76, 3 Au 2.79-2.86
4 Pd 0.1974 0.6667 0.3333  3 Pd 2.70
5 Pd 0.1875 0.2793 0.2297  1 Np 2.56, 3 Pd 2.70-2.76, 3 Au 2.79-2.86
6 Pd 0.1875 0.7703 0.0496  1 Np 2.56, 3 Pd 2.70-2.76, 3 Au 2.79-2.86
7 Pd 0.8026 0.3333 0.6667  3 Pd 2.70
8 Pd 0.1875 0.9504 0.7207  1 Np 2.56, 3 Pd 2.70-2.76, 3 Au 2.79-2.86
9 Au 0.3027 0.3592 0.8945  8 Pd 2.79-3.08, 3 Au 2.81-2.91
10 Au 0.6973 0.8945 0.5353  8 Pd 2.79-3.08, 3 Au 2.81-2.91
11 Au 0.3027 0.5353 0.6408  8 Pd 2.79-3.08, 3 Au 2.81-2.91
12 Au 0.3027 0.1055 0.4647  8 Pd 2.79-3.08, 3 Au 2.81-2.91
13 Au 0.6973 0.6408 0.1055  8 Pd 2.79-3.08, 3 Au 2.81-2.91
14 Au 0.6973 0.4647 0.3592  8 Pd 2.79-3.08, 3 Au 2.81-2.91
15 Np 0.5000 0.0000 0.0000  6 Pd 2.56

***

2.
Np2Pd12Au5: optimized geometry, PBE-GGA.

## Properties
energy of formation from the pure elements	-3.5	eV/f.u.
N(E_F)	1.4399	states/eV per atom
total DFT energy (no corrections)	-5.69	eV per atom

Cell: 8.6825 7.7389 6.0118 Å, 93.41 90.00 124.12°
With the nearest neighbours (Å) after each atom.
Element x y z (fractional)
1 Pd 0.8363 0.2059 0.6035  4 Au 2.71-2.99, 6 Pd 2.80-2.92, 1 Np 2.83
2 Pd 0.5496 0.0992 0.2918  3 Au 2.79-2.94, 7 Pd 2.81-2.94, 2 Np 2.99
3 Pd 0.4504 0.9008 0.7082  3 Au 2.79-2.94, 7 Pd 2.81-2.94, 2 Np 2.99
4 Pd 0.6304 0.7941 0.3965  4 Au 2.71-2.99, 6 Pd 2.80-2.92, 1 Np 2.83
5 Pd 0.1438 0.2876 0.8882  3 Au 2.75-2.87, 2 Np 2.81, 6 Pd 2.88-3.07
6 Pd 0.1637 0.7941 0.3965  4 Au 2.71-2.99, 6 Pd 2.80-2.92, 1 Np 2.83
7 Pd 0.8562 0.7124 0.1118  3 Au 2.75-2.87, 2 Np 2.81, 6 Pd 2.88-3.07
8 Pd 0.5569 0.6128 0.8071  1 Np 2.67, 5 Pd 2.80-2.94, 4 Au 2.81-2.98
9 Pd 0.3696 0.2059 0.6035  4 Au 2.71-2.99, 6 Pd 2.80-2.92, 1 Np 2.83
10 Pd 0.9442 0.3872 0.1929  1 Np 2.67, 5 Pd 2.80-2.94, 4 Au 2.81-2.98
11 Pd 0.0558 0.6128 0.8071  1 Np 2.67, 5 Pd 2.80-2.94, 4 Au 2.81-2.98
12 Pd 0.4431 0.3872 0.1929  1 Np 2.67, 5 Pd 2.80-2.94, 4 Au 2.81-2.98
13 Au 0.3436 0.6872 0.0965  9 Pd 2.77-2.98, 1 Au 2.82
14 Au 0.2374 0.4748 0.4909  10 Pd 2.75-2.99, 2 Au 2.82-3.05
15 Au 0.0000 0.0000 0.5000  6 Pd 2.71-2.87
16 Au 0.6564 0.3128 0.9035  9 Pd 2.77-2.98, 1 Au 2.82
17 Au 0.7626 0.5252 0.5091  10 Pd 2.75-2.99, 2 Au 2.82-3.05
18 Np 0.2272 0.0000 0.0000  8 Pd 2.67-2.99
19 Np 0.7728 0.0000 0.0000  8 Pd 2.67-2.99

***

3.
NpPd5Au2: optimized geometry, PBE-GGA.

## Properties
energy of formation from the pure elements	-2.2	eV/f.u.
N(E_F)	1.5169	states/eV per atom
total DFT energy (no corrections)	-5.96	eV per atom
E above lowest polymorph	0.0000	eV per atom

Cell: 4.8636 4.8636 7.2001 Å, 115.48 115.48 74.12°
With the nearest neighbours (Å) after each atom.
Element x y z (fractional)
1 Pd 0.3747 0.8747 0.7494  4 Au 2.82-2.91, 2 Np 2.87, 6 Pd 2.87-3.04
2 Pd 0.5000 0.5000 0.0000  8 Pd 2.87, 2 Np 2.93, 2 Au 2.94
3 Pd 0.8747 0.3747 0.7494  4 Au 2.82-2.91, 6 Pd 2.87-3.04, 2 Np 2.87
4 Pd 0.6253 0.1253 0.2506  4 Au 2.82-2.91, 2 Np 2.87, 6 Pd 2.87-3.04
5 Pd 0.1253 0.6253 0.2506  4 Au 2.82-2.91, 6 Pd 2.87-3.04, 2 Np 2.87
6 Au 0.2574 0.2574 0.5149  9 Pd 2.82-2.94, 2 Au 2.94, 1 Np 3.12
7 Au 0.7426 0.7426 0.4851  9 Pd 2.82-2.94, 2 Au 2.94, 1 Np 3.12
8 Np 0.0000 0.0000 0.0000  10 Pd 2.87-2.93, 2 Au 3.12

***

4.
NpPd4Au: optimized geometry, PBE-GGA.

## Properties
energy of formation from the pure elements	-1.7	eV/f.u.
N(E_F)	2.3634	states/eV per atom
total DFT energy (no corrections)	-6.45	eV per atom

Cell: 5.3325 5.3325 5.3325 Å, 60.00 60.00 60.00°
With the nearest neighbours (Å) after each atom.
Element x y z (fractional)
1 Au 0.0000 0.0000 0.0000  12 Pd 3.13, 4 Np 3.27
2 Pd 0.6252 0.6252 0.6252  6 Pd 2.66-2.67
3 Pd 0.6252 0.1245 0.6252  6 Pd 2.66-2.67
4 Pd 0.1245 0.6252 0.6252  6 Pd 2.66-2.67
5 Pd 0.6252 0.6252 0.1245  6 Pd 2.66-2.67
6 Np 0.2500 0.2500 0.2500  12 Pd 3.13, 4 Au 3.27